A.
Below is a relaxed structure of Cs3InBi, with properties calculated at the PBE-GGA level.

The calculation puts the magnetic moment at 0.34 μB per formula unit. The density of states at the Fermi level is 7.32 states/eV per cell. As for the volume: 601.74 Å³ per cell. Its symmetry is C2/m (12).

Geometry as CIF:
```
data_Cs3InBi
_symmetry_space_group_name_H-M 'P 1'
_symmetry_Int_Tables_number 1
_symmetry_space_group_name_Hall 'P 1'
_cell_length_a 9.1363
_cell_length_b 9.1363
_cell_length_c 9.4169
_cell_angle_alpha 112.09
_cell_angle_beta 116.32
_cell_angle_gamma 98.94
loop_
_atom_site_label
_atom_site_type_symbol
_atom_site_fract_x
_atom_site_fract_y
_atom_site_fract_z
_atom_site_occupancy
Bi1 Bi 0.2664 0.9334 0.1998 1
Cs1 Cs 0.1385 0.9682 0.7473 1
Bi2 Bi 0.7336 0.0666 0.8002 1
Cs2 Cs 0.7116 0.4390 0.1506 1
Cs3 Cs 0.8615 0.0318 0.2527 1
In1 In 0.5676 0.8269 0.3946 1
Cs4 Cs 0.2884 0.5610 0.8494 1
Cs5 Cs 0.7791 0.6089 0.7473 1
In2 In 0.4324 0.1731 0.6054 1
Cs6 Cs 0.2209 0.3911 0.2527 1
```



B.
Below is a relaxed structure of Cs3InBi, with properties calculated at the PBE-GGA level.

The calculation puts the magnetic moment at 1.90 μB per formula unit. The density of states at the Fermi level is 8.13 states/eV per cell. As for the volume: 360.32 Å³ per cell. Its symmetry is Pm-3m (221).

Geometry as CIF:
```
data_Cs3InBi
_symmetry_space_group_name_H-M 'P 1'
_symmetry_Int_Tables_number 1
_symmetry_space_group_name_Hall 'P 1'
_cell_length_a 7.1159
_cell_length_b 7.1159
_cell_length_c 7.1159
_cell_angle_alpha 90.00
_cell_angle_beta 90.00
_cell_angle_gamma 90.00
loop_
_atom_site_label
_atom_site_type_symbol
_atom_site_fract_x
_atom_site_fract_y
_atom_site_fract_z
_atom_site_occupancy
Cs1 Cs 0.0000 0.5000 0.0000 1
In1 In 0.0000 0.0000 0.0000 1
Cs2 Cs 0.0000 0.0000 0.5000 1
Bi1 Bi 0.5000 0.5000 0.5000 1
Cs3 Cs 0.5000 0.0000 0.0000 1
```



Least stable = B